*A*
Compound: Ac2Sn3Au2
Source: Alexandria via LeMat-Bulk
Functional: PBE-GGA
Structure: relaxed

The value obtained for the density of states at the Fermi level is 0.271 states/eV/atom.

The structure belongs to space group Cmcm (No. 63); the cell edges are 4.985, 21.058 and 7.538 Å and the angles 90.00°, 90.00° and 90.00°. The asymmetric unit holds Ac at (0.000, 0.046, 0.250), Ac at (0.000, 0.162, 0.750), Sn at (0.000, 0.217, 0.250), Sn at (0.000, 0.434, 0.057) and Au at (0.000, 0.306, 0.550).

---

*B*
Compound: Ac2Sn3Au2
Source: Alexandria via LeMat-Bulk
Functional: PBE-GGA
Structure: relaxed

The value obtained for the density of states at the Fermi level is 0.556 states/eV/atom.

The structure belongs to space group C2/m (No. 12); the cell edges are 11.551, 4.598 and 7.484 Å and the angles 90.00°, 96.99° and 90.00°. The asymmetric unit holds Ac at (0.121, 0.000, 0.325), Sn at (0.000, 0.500, 0.000), Sn at (0.189, 0.000, 0.860) and Au at (0.097, 0.500, 0.638).

---

Which structure is the most stable? The one labeled *A*.

---

*A*
Compound: SrAc2Au3
Source: Alexandria via LeMat-Bulk
Functional: PBE-GGA
Structure: relaxed

The value obtained for the density of states at the Fermi level is 0.826 states/eV/atom.

The structure belongs to space group Fd-3m (No. 227, origin choice 2); the cell edges are 14.876, 14.876 and 14.876 Å and the angles 90.00°, 90.00° and 90.00°. The asymmetric unit holds Sr at (0.000, 0.000, 0.000), Ac at (0.022, 0.022, 0.728) and Au at (0.114, 0.375, 0.375).

---

*B*
Compound: SrAc2Au3
Source: Alexandria via LeMat-Bulk
Functional: PBE-GGA
Structure: relaxed

The value obtained for the density of states at the Fermi level is 0.563 states/eV/atom.

The structure belongs to space group C2/c (No. 15); the cell edges are 14.389, 6.444 and 9.097 Å and the angles 90.00°, 108.34° and 90.00°. The asymmetric unit holds Sr at (0.000, 0.002, 0.250), Ac at (0.168, 0.499, 0.084), Au at (0.000, 0.498, 0.750) and Au at (0.169, 0.001, 0.585).

---

Which structure is the most stable? The one labeled *B*.

---

*A*
Compound: SrAc2Au6
Source: Alexandria via LeMat-Bulk
Functional: PBE-GGA
Structure: relaxed

The value obtained for the density of states at the Fermi level is 0.476 states/eV/atom.

The structure belongs to space group Immm (No. 71); the cell edges are 4.075, 7.935 and 15.355 Å and the angles 90.00°, 90.00° and 90.00°. The asymmetric unit holds Sr at (0.000, 0.000, 0.000), Ac at (0.000, 0.500, 0.144), Au at (0.000, 0.181, 0.500) and Au at (0.000, 0.317, 0.330).

---

*B*
Compound: SrAc2Au6
Source: Alexandria via LeMat-Bulk
Functional: PBE-GGA
Structure: relaxed

The value obtained for the density of states at the Fermi level is 0.645 states/eV/atom.

The structure belongs to space group P6/mmm (No. 191); the cell edges are 8.3949, 8.3949 and 3.9060 Å and the angles 90.00°, 90.00° and 120.00°. The asymmetric unit holds Sr at (0.0000, 0.0000, 0.0000), Ac at (0.3333, 0.6667, 0.0000) and Au at (0.0000, 0.3329, 0.5000).

---

Which structure is the most stable? The one labeled *B*.

---

*A*
Compound: SrAcAu3
Source: Alexandria via LeMat-Bulk
Functional: PBE-GGA
Structure: relaxed

The value obtained for the density of states at the Fermi level is 0.916 states/eV/atom.

The structure belongs to space group I-4m2 (No. 119); the cell edges are 5.584, 5.584 and 23.255 Å and the angles 90.00°, 90.00° and 90.00°. The asymmetric unit holds Sr at (0.000, 0.000, 0.105), Ac at (0.000, 0.000, 0.500), Ac at (0.000, 0.500, 0.750), Au at (0.000, 0.243, 0.632) and Au at (0.000, 0.500, 0.054).

---

*B*
Compound: SrAcAu3
Source: Alexandria via LeMat-Bulk
Functional: PBE-GGA
Structure: relaxed

The value obtained for the density of states at the Fermi level is 0.551 states/eV/atom.

The structure belongs to space group Cmcm (No. 63); the cell edges are 4.045, 28.786 and 4.822 Å and the angles 90.00°, 90.00° and 90.00°. The asymmetric unit holds Sr at (0.000, 0.205, 0.250), Ac at (0.000, 0.072, 0.750), Au at (0.000, 0.323, 0.250), Au at (0.000, 0.380, 0.750) and Au at (0.000, 0.477, 0.750).

---

Which structure is the most stable? The one labeled *B*.

---

*A*
Compound: SrAcTlAu
Source: Alexandria via LeMat-Bulk
Functional: PBE-GGA
Structure: relaxed

The value obtained for the density of states at the Fermi level is 0.464 states/eV/atom.

The structure belongs to space group P4mm (No. 99); the cell edges are 3.951, 3.951 and 8.240 Å and the angles 90.00°, 90.00° and 90.00°. The asymmetric unit holds Sr at (0.000, 0.000, 0.000), Ac at (0.000, 0.000, 0.462), Tl at (0.500, 0.500, 0.734) and Au at (0.500, 0.500, 0.246).

---

*B*
Compound: SrAcTlAu
Source: Alexandria via LeMat-Bulk
Functional: PBE-GGA
Structure: relaxed

The value obtained for the density of states at the Fermi level is 1.157 states/eV/atom.

The structure belongs to space group F-43m (No. 216); the cell edges are 7.986, 7.986 and 7.986 Å and the angles 90.00°, 90.00° and 90.00°. The asymmetric unit holds Sr at (0.000, 0.000, 0.000), Ac at (0.000, 0.000, 0.500), Tl at (0.250, 0.250, 0.750) and Au at (0.250, 0.250, 0.250).

---

Which structure is the most stable? The one labeled *A*.

---

*A*
Compound: AcTb2Au
Source: Alexandria via LeMat-Bulk
Functional: PBE-GGA
Structure: relaxed

The value obtained for the density of states at the Fermi level is 1.245 states/eV/atom.

The structure belongs to space group P4/mmm (No. 123); the cell edges are 3.705, 3.705 and 8.878 Å and the angles 90.00°, 90.00° and 90.00°. The asymmetric unit holds Ac at (0.000, 0.000, 0.000), Tb at (0.500, 0.500, 0.308) and Au at (0.000, 0.000, 0.500).

---

*B*
Compound: AcTb2Au
Source: Alexandria via LeMat-Bulk
Functional: PBE-GGA
Structure: relaxed

The value obtained for the density of states at the Fermi level is 1.659 states/eV/atom.

The structure belongs to space group P4/mmm (No. 123); the cell edges are 5.537, 5.537 and 3.793 Å and the angles 90.00°, 90.00° and 90.00°. The asymmetric unit holds Ac at (0.000, 0.000, 0.000), Tb at (0.000, 0.500, 0.500) and Au at (0.500, 0.500, 0.000).

---

Which structure is the most stable? The one labeled *A*.